[1]
# PBE-GGA ErThCuRu, optimized geometry
# energy of formation from the pure elements	-0.31	eV per atom
# volume	21.4	Å³/atom
# calculated density	11.0	Mg/m³
# D(E_F)	0.9666	states/eV/atom
# total energy	-6.647	eV per atom
data_ErThCuRu
_chemical_formula_sum 'Er4 Th4 Cu4 Ru4'
_cell_length_a 6.992
_cell_length_b 6.992
_cell_length_c 6.992
_cell_angle_alpha 90.00
_cell_angle_beta 90.00
_cell_angle_gamma 90.00
_space_group_name_H-M_alt 'F -4 3 m'
_space_group_IT_number 216
_space_group_name_Hall 'F -4 2 3'
loop_
_atom_site_label
_atom_site_type_symbol
_atom_site_fract_x
_atom_site_fract_y
_atom_site_fract_z
Er1 Er 0.000 0.000 0.000
Th1 Th 0.000 0.000 0.500
Cu1 Cu 0.250 0.250 0.250
Ru1 Ru 0.250 0.250 0.750

[2]
# PBE-GGA ErTmCuRu, optimized geometry
# energy of formation from the pure elements	-0.39	eV per atom
# volume	19.6	Å³/atom
# calculated density	10.6	Mg/m³
# D(E_F)	0.6265	states/eV/atom
# total energy	-5.992	eV per atom
data_ErTmCuRu
_chemical_formula_sum 'Er4 Tm4 Cu4 Ru4'
_cell_length_a 6.790
_cell_length_b 6.790
_cell_length_c 6.790
_cell_angle_alpha 90.00
_cell_angle_beta 90.00
_cell_angle_gamma 90.00
_space_group_name_H-M_alt 'F -4 3 m'
_space_group_IT_number 216
_space_group_name_Hall 'F -4 2 3'
loop_
_atom_site_label
_atom_site_type_symbol
_atom_site_fract_x
_atom_site_fract_y
_atom_site_fract_z
Er1 Er 0.000 0.000 0.000
Tm1 Tm 0.000 0.000 0.500
Cu1 Cu 0.250 0.250 0.250
Ru1 Ru 0.250 0.250 0.750

[3]
# PBE-GGA ErVCuRu, optimized geometry
# energy of formation from the pure elements	-0.03	eV per atom
# volume	16.5	Å³/atom
# calculated density	9.6	Mg/m³
# D(E_F)	0.9329	states/eV/atom
# total energy	-6.789	eV per atom
data_ErVCuRu
_chemical_formula_sum 'Er4 V4 Cu4 Ru4'
_cell_length_a 6.421
_cell_length_b 6.421
_cell_length_c 6.421
_cell_angle_alpha 90.00
_cell_angle_beta 90.00
_cell_angle_gamma 90.00
_space_group_name_H-M_alt 'F -4 3 m'
_space_group_IT_number 216
_space_group_name_Hall 'F -4 2 3'
loop_
_atom_site_label
_atom_site_type_symbol
_atom_site_fract_x
_atom_site_fract_y
_atom_site_fract_z
Er1 Er 0.000 0.000 0.000
V1 V 0.000 0.000 0.500
Cu1 Cu 0.250 0.250 0.250
Ru1 Ru 0.250 0.250 0.750

[4]
# PBE-GGA YErCuRu, optimized geometry
# energy of formation from the pure elements	-0.34	eV per atom
# volume	20.1	Å³/atom
# calculated density	8.7	Mg/m³
# D(E_F)	0.7274	states/eV/atom
# total energy	-6.442	eV per atom
data_YErCuRu
_chemical_formula_sum 'Y4 Er4 Cu4 Ru4'
_cell_length_a 6.851
_cell_length_b 6.851
_cell_length_c 6.851
_cell_angle_alpha 90.00
_cell_angle_beta 90.00
_cell_angle_gamma 90.00
_space_group_name_H-M_alt 'F -4 3 m'
_space_group_IT_number 216
_space_group_name_Hall 'F -4 2 3'
loop_
_atom_site_label
_atom_site_type_symbol
_atom_site_fract_x
_atom_site_fract_y
_atom_site_fract_z
Y1 Y 0.000 0.000 0.000
Er1 Er 0.000 0.000 0.500
Cu1 Cu 0.250 0.250 0.250
Ru1 Ru 0.250 0.250 0.750

[5]
# PBE-GGA Er4ZnCu2Ru, optimized geometry
# energy of formation from the pure elements	-0.36	eV per atom
# volume	20.5	Å³/atom
# calculated density	9.8	Mg/m³
# D(E_F)	0.6660	states/eV/atom
# total energy	-4.982	eV per atom
data_Er4ZnCu2Ru
_chemical_formula_sum 'Er12 Zn3 Cu6 Ru3'
_cell_length_a 4.8825
_cell_length_b 4.8825
_cell_length_c 23.8009
_cell_angle_alpha 90.00
_cell_angle_beta 90.00
_cell_angle_gamma 120.00
_space_group_name_H-M_alt 'R -3 m'
_space_group_IT_number 166
_space_group_name_Hall '-R 3 2"'
loop_
_atom_site_label
_atom_site_type_symbol
_atom_site_fract_x
_atom_site_fract_y
_atom_site_fract_z
Er1 Er 0.0000 0.0000 0.1204
Er2 Er 0.0000 0.0000 0.3710
Zn1 Zn 0.0000 0.0000 0.5000
Cu1 Cu 0.0000 0.0000 0.2467
Ru1 Ru 0.0000 0.0000 0.0000

[6]
# PBE-GGA Er2Zn5CuRu2, optimized geometry
# energy of formation from the pure elements	-0.17	eV per atom
# volume	17.1	Å³/atom
# calculated density	9.0	Mg/m³
# D(E_F)	0.5579	states/eV/atom
# total energy	-3.983	eV per atom
data_Er2Zn5CuRu2
_chemical_formula_sum 'Er4 Zn10 Cu2 Ru4'
_cell_length_a 9.909
_cell_length_b 9.909
_cell_length_c 3.479
_cell_angle_alpha 90.00
_cell_angle_beta 90.00
_cell_angle_gamma 90.00
_space_group_name_H-M_alt 'P 4/m b m'
_space_group_IT_number 127
_space_group_name_Hall '-P 4 2ab'
loop_
_atom_site_label
_atom_site_type_symbol
_atom_site_fract_x
_atom_site_fract_y
_atom_site_fract_z
Er1 Er 0.178 0.322 0.000
Zn1 Zn 0.000 0.500 0.500
Zn2 Zn 0.054 0.812 0.500
Cu1 Cu 0.000 0.000 0.000
Ru1 Ru 0.132 0.632 0.000

[7]
# PBE-GGA ErZnCuRu, optimized geometry
# energy of formation from the pure elements	-0.14	eV per atom
# volume	16.6	Å³/atom
# calculated density	10.0	Mg/m³
# D(E_F)	0.3402	states/eV/atom
# total energy	-4.940	eV per atom
data_ErZnCuRu
_chemical_formula_sum 'Er4 Zn4 Cu4 Ru4'
_cell_length_a 6.424
_cell_length_b 6.424
_cell_length_c 6.424
_cell_angle_alpha 90.00
_cell_angle_beta 90.00
_cell_angle_gamma 90.00
_space_group_name_H-M_alt 'F -4 3 m'
_space_group_IT_number 216
_space_group_name_Hall 'F -4 2 3'
loop_
_atom_site_label
_atom_site_type_symbol
_atom_site_fract_x
_atom_site_fract_y
_atom_site_fract_z
Er1 Er 0.000 0.000 0.000
Zn1 Zn 0.000 0.000 0.500
Cu1 Cu 0.250 0.250 0.750
Ru1 Ru 0.250 0.250 0.250

[8]
# PBE-GGA ErZrCuRu, optimized geometry
# energy of formation from the pure elements	-0.34	eV per atom
# volume	18.7	Å³/atom
# calculated density	9.4	Mg/m³
# D(E_F)	0.8309	states/eV/atom
# total energy	-6.959	eV per atom
data_ErZrCuRu
_chemical_formula_sum 'Er4 Zr4 Cu4 Ru4'
_cell_length_a 6.684
_cell_length_b 6.684
_cell_length_c 6.684
_cell_angle_alpha 90.00
_cell_angle_beta 90.00
_cell_angle_gamma 90.00
_space_group_name_H-M_alt 'F -4 3 m'
_space_group_IT_number 216
_space_group_name_Hall 'F -4 2 3'
loop_
_atom_site_label
_atom_site_type_symbol
_atom_site_fract_x
_atom_site_fract_y
_atom_site_fract_z
Er1 Er 0.000 0.000 0.000
Zr1 Zr 0.000 0.000 0.500
Cu1 Cu 0.250 0.250 0.250
Ru1 Ru 0.250 0.250 0.750